[1]
Er4ScCu5 | PBE | optimized geometry

Cell: 3.3790 3.3790 17.1927 Å, 90.00 90.00 90.00°
Closest atoms and distances in Å follow each position.
Space group P4/mmm (No. 123)
One atom of each set of equivalent atoms:
1 Er 0.0000 0.0000 0.1020  8 Cu 2.96-2.97
2 Er 0.0000 0.0000 0.3059  8 Cu 2.96-3.00
3 Sc 0.0000 0.0000 0.5000  8 Cu 2.83
4 Cu 0.5000 0.5000 0.0000  8 Er 2.96
5 Cu 0.5000 0.5000 0.2042  8 Er 2.96-2.97
6 Cu 0.5000 0.5000 0.4114  4 Sc 2.83, 4 Er 3.00, 1 Cu 3.05

## Properties
* DOS at the Fermi energy: 4.07 states/eV per cell
* electronic total energy: -47.83 eV/cell
* density: 8.73 Mg/m³
* calculated formation energy: -276 meV/atom

[2]
ErSc2Cu9 | PBE | optimized geometry

Cell: 5.0538 5.0538 24.3697 Å, 90.00 90.00 120.00°
Closest atoms and distances in Å follow each position.
Space group R-3m (No. 166, hexagonal axes)
One atom of each set of equivalent atoms:
1 Er 0.0000 0.0000 0.0000  18 Cu 2.92-3.26
2 Sc 0.0000 0.0000 0.1436  12 Cu 2.91-2.97, 3 Sc 3.13
3 Cu 0.0000 0.0000 0.3329  6 Cu 2.51-2.53
4 Cu 0.0000 0.0000 0.5000  6 Cu 2.49
5 Cu 0.0023 0.5011 0.9157  7 Cu 2.49-2.54

## Properties
* DOS at the Fermi energy: 31.08 states/eV per cell
* electronic total energy: -170.07 eV/cell
* density: 7.66 Mg/m³
* calculated formation energy: -216 meV/atom

[3]
ErSc3Cu2 | PBE | optimized geometry

Cell: 3.4471 9.0254 8.2397 Å, 90.00 90.00 90.00°
Closest atoms and distances in Å follow each position.
Space group Pmc2_1 (No. 26)
One atom of each set of equivalent atoms:
1 Er 0.0000 0.0820 0.0000  4 Cu 2.88-2.90
2 Sc 0.0000 0.2934 0.6473  3 Cu 2.65-2.68
3 Sc 0.5000 0.2172 0.3245  3 Cu 2.62-2.82
4 Sc 0.5000 0.4276 0.9733  4 Cu 2.82-2.89
5 Cu 0.0000 0.4260 0.2552  7 Sc 2.62-2.89
6 Cu 0.5000 0.0797 0.7164  3 Sc 2.65-2.82, 4 Er 2.88-2.90

## Properties
* offset from the most stable computed form: 0 meV per atom
* DOS at the Fermi energy: 15.40 states/eV per cell
* electronic total energy: -65.11 eV/cell
* density: 5.56 Mg/m³
* calculated formation energy: -134 meV/atom

[4]
ErScCu | PBE | optimized geometry

Cell: 3.3496 3.3496 11.7586 Å, 90.00 90.00 90.00°
Closest atoms and distances in Å follow each position.
Space group I4mm (No. 107)
One atom of each set of equivalent atoms:
1 Er 0.0000 0.0000 0.0000  4 Cu 2.98, 1 Sc 3.31
2 Sc 0.0000 0.0000 0.2812  4 Cu 2.80
3 Cu 0.0000 0.0000 0.6543  4 Sc 2.80, 4 Er 2.98

## Properties
* offset from the most stable computed form: 49 meV per atom
* DOS at the Fermi energy: 8.19 states/eV per cell
* electronic total energy: -30.78 eV/cell
* density: 6.94 Mg/m³
* calculated formation energy: -134 meV/atom

[5]
ErScCu3 | PBE | optimized geometry

Cell: 3.3931 24.8236 4.2578 Å, 90.00 90.00 90.00°
Closest atoms and distances in Å follow each position.
Space group Cmcm (No. 63)
One atom of each set of equivalent atoms:
1 Er 0.0000 0.0750 0.2500  12 Cu 2.97-3.06
2 Sc 0.0000 0.2081 0.7500  7 Cu 2.72-2.83
3 Cu 0.0000 0.3223 0.7500  2 Cu 2.53, 5 Sc 2.82-2.83
4 Cu 0.0000 0.3776 0.2500  3 Cu 2.44-2.53, 2 Sc 2.72
5 Cu 0.0000 0.4759 0.2500  3 Cu 2.44

## Properties
* DOS at the Fermi energy: 14.32 states/eV per cell
* electronic total energy: -97.76 eV/cell
* density: 7.46 Mg/m³
* calculated formation energy: -251 meV/atom

[6]
ErScCu | PBE | optimized geometry

Cell: 4.6831 12.1074 6.9811 Å, 90.00 90.00 90.00°
Closest atoms and distances in Å follow each position.
Space group Amm2 (No. 38)
One atom of each set of equivalent atoms:
1 Er 0.0000 0.0000 0.0000  5 Cu 2.83-3.16
2 Er 0.0000 0.2021 0.3931  5 Cu 2.83-3.16
3 Sc 0.5000 0.0000 0.3337  2 Cu 2.62
4 Sc 0.5000 0.1309 0.7264  2 Cu 2.61
5 Cu 0.0000 0.0000 0.5953  3 Er 2.83, 6 Sc 2.97
6 Cu 0.5000 0.1668 0.0956  3 Sc 2.61-2.62

## Properties
* offset from the most stable computed form: 0 meV per atom
* DOS at the Fermi energy: 13.47 states/eV per cell
* electronic total energy: -93.23 eV/cell
* density: 6.94 Mg/m³
* calculated formation energy: -183 meV/atom

| no. | magnetization (μB/f.u.) |
| --- | --- |
| 1 | 0.00 |
| 2 | 0.00 |
| 3 | 0.25 |
| 4 | 0.39 |
| 5 | 0.00 |
| 6 | 0.00 |